[1]
DFT (GGA-PBE) results for an optimized crystal structure of Dy3Te5.

Calculated values
Its density of states at the Fermi level is 1.513 states/eV/f.u. The final energy comes out at -4.918 eV/atom. As for the formation energy from raw total energies: -9.833 eV/f.u. Its space group is P6_3/mcm (193).

Cell: 9.441 9.441 6.148 Å, 90.00 90.00 120.00°
Positions (direct):
Dy: 0.000 0.372 0.250
Dy: 0.000 0.628 0.750
Dy: 0.372 0.000 0.250
Dy: 0.372 0.372 0.750
Dy: 0.628 0.000 0.750
Dy: 0.628 0.628 0.250
Te: 0.000 0.276 0.750
Te: 0.000 0.724 0.250
Te: 0.276 0.000 0.750
Te: 0.276 0.276 0.250
Te: 0.333 0.667 0.000
Te: 0.333 0.667 0.500
Te: 0.667 0.333 0.000
Te: 0.667 0.333 0.500
Te: 0.724 0.000 0.250
Te: 0.724 0.724 0.750

[2]
DFT (GGA-PBE) results for an optimized crystal structure of Si2BTeRu.

Calculated values
Its density of states at the Fermi level is 4.105 states/eV/f.u. The final energy comes out at -3.630 eV/atom. As for the formation energy from raw total energies: 11.793 eV/f.u. Its space group is P4/mmm (123).

Cell: 5.174 5.174 4.867 Å, 90.00 90.00 90.00°
Positions (direct):
Si: 0.000 0.500 0.000
Si: 0.500 0.000 0.000
B: 0.000 0.000 0.500
Te: 0.500 0.500 0.000
Ru: 0.500 0.500 0.500

[3]
DFT (GGA-PBE) results for an optimized crystal structure of Mn3Tc.

Calculated values
Its density of states at the Fermi level is 4.983 states/eV/f.u. The final energy comes out at -9.387 eV/atom. Its space group is Pmmm (47).

Cell: 2.630 3.594 5.246 Å, 90.00 90.00 90.00°
Positions (direct):
Mn: 0.000 0.000 0.000
Mn: 0.500 0.500 0.243
Mn: 0.500 0.500 0.757
Tc: 0.000 0.000 0.500

[4]
DFT (GGA-PBE) results for an optimized crystal structure of BaGaSb2O8.

Calculated values
Its density of states at the Fermi level is 5.338 states/eV/f.u. The final energy comes out at -5.795 eV/atom. As for the formation energy from raw total energies: -16.685 eV/f.u. Its space group is P-1 (2).

Cell: 5.104 5.133 6.553 Å, 90.20 90.16 96.93°
Positions (direct):
Ba: 0.000 0.000 0.000
Ga: 0.000 0.000 0.500
Sb: 0.499 0.499 0.740
Sb: 0.501 0.501 0.260
O: 0.224 0.195 0.701
O: 0.226 0.195 0.299
O: 0.307 0.670 0.500
O: 0.324 0.642 0.000
O: 0.676 0.358 0.000
O: 0.693 0.330 0.500
O: 0.774 0.805 0.701
O: 0.776 0.805 0.299

[5]
DFT (GGA-PBE) results for an optimized crystal structure of Pr4HoSc.

Calculated values
Its density of states at the Fermi level is 8.015 states/eV/f.u. The calculation puts the energy above the most stable polymorph in this dataset at 0.00 eV per formula unit. The final energy comes out at -4.968 eV/atom. Its space group is C2/m (12).

Cell: 6.231 6.231 6.244 Å, 99.35 99.35 119.84°
Positions (direct):
Pr: 0.162 0.838 0.000
Pr: 0.334 0.666 0.500
Pr: 0.666 0.334 0.500
Pr: 0.838 0.162 0.000
Ho: 0.500 0.500 0.000
Sc: 0.000 0.000 0.500

[6]
DFT (GGA-PBE) results for an optimized crystal structure of Ba2MgHg3Pb4.

Calculated values
Its density of states at the Fermi level is 3.140 states/eV/f.u. The final energy comes out at -2.453 eV/atom. Its space group is P-4m2 (115).

Cell: 4.992 4.992 13.011 Å, 90.00 90.00 90.00°
Positions (direct):
Ba: 0.000 0.500 0.246
Ba: 0.500 0.000 0.754
Mg: 0.500 0.500 0.000
Hg: 0.000 0.000 0.000
Hg: 0.000 0.500 0.644
Hg: 0.500 0.000 0.356
Pb: 0.000 0.000 0.500
Pb: 0.000 0.500 0.868
Pb: 0.500 0.000 0.132
Pb: 0.500 0.500 0.500

[7]
DFT (GGA-PBE) results for an optimized crystal structure of ReHg2Sb.

Calculated values
Its density of states at the Fermi level is 2.831 states/eV/f.u. The final energy comes out at -3.511 eV/atom. As for the formation energy from raw total energies: 3.130 eV/f.u. Its space group is Cmmm (65).

Cell: 3.050 3.050 10.825 Å, 90.00 90.00 121.53°
Positions (direct):
Re: 0.000 0.000 0.000
Hg: 0.500 0.500 0.226
Hg: 0.500 0.500 0.774
Sb: 0.000 0.000 0.500

[8]
DFT (GGA-PBE) results for an optimized crystal structure of TbY2Cl.

Calculated values
Its density of states at the Fermi level is 5.594 states/eV/f.u. The final energy comes out at -5.225 eV/atom. As for the formation energy from raw total energies: -1.495 eV/f.u. Its space group is R-3m (166).

Cell: 11.329 11.329 11.329 Å, 17.56 17.56 17.56°
Positions (direct):
Tb: 0.000 0.000 0.000
Y: 0.101 0.101 0.101
Y: 0.899 0.899 0.899
Cl: 0.500 0.500 0.500

[9]
DFT (GGA-PBE) results for an optimized crystal structure of Pm3Nd3Rh2.

Calculated values
Its density of states at the Fermi level is 7.876 states/eV/f.u. The final energy comes out at -5.756 eV/atom. Its space group is Cmcm (63).

Cell: 6.760 6.760 14.900 Å, 90.00 90.00 136.45°
Positions (direct):
Pm: 0.153 0.847 0.518
Pm: 0.153 0.847 0.982
Pm: 0.162 0.838 0.250
Pm: 0.838 0.162 0.750
Pm: 0.847 0.153 0.018
Pm: 0.847 0.153 0.482
Nd: 0.134 0.866 0.750
Nd: 0.456 0.544 0.618
Nd: 0.456 0.544 0.882
Nd: 0.544 0.456 0.118
Nd: 0.544 0.456 0.382
Nd: 0.866 0.134 0.250
Rh: 0.321 0.679 0.117
Rh: 0.321 0.679 0.383
Rh: 0.679 0.321 0.617
Rh: 0.679 0.321 0.883

[10]
DFT (GGA-PBE) results for an optimized crystal structure of TcHg2P.

Calculated values
Its density of states at the Fermi level is 1.780 states/eV/f.u. The final energy comes out at -3.979 eV/atom. Its space group is Cm (8).

Cell: 4.364 4.364 7.382 Å, 106.14 106.14 39.60°
Positions (direct):
Tc: 0.000 0.000 0.000
Hg: 0.426 0.426 0.647
Hg: 0.638 0.638 0.349
P: 0.287 0.287 0.000

[11]
DFT (GGA-PBE) results for an optimized crystal structure of K2Rb2Te.

Calculated values
Its density of states at the Fermi level is 0.249 states/eV/f.u. The calculation puts the energy above the most stable polymorph in this dataset at 0.20 eV per formula unit. The final energy comes out at -1.833 eV/atom. As for the formation energy from raw total energies: -1.893 eV/f.u. Its space group is P4/mbm (127).

Cell: 9.333 9.333 7.304 Å, 90.00 90.00 90.00°
Positions (direct):
K: 0.179 0.321 0.000
K: 0.321 0.821 0.000
K: 0.679 0.179 0.000
K: 0.821 0.679 0.000
Rb: 0.158 0.658 0.500
Rb: 0.342 0.158 0.500
Rb: 0.658 0.842 0.500
Rb: 0.842 0.342 0.500
Te: 0.000 0.000 0.500
Te: 0.500 0.500 0.500

[12]
DFT (GGA-PBE) results for an optimized crystal structure of LaMoPt2.

Calculated values
Its density of states at the Fermi level is 4.307 states/eV/f.u. The calculation puts the energy above the most stable polymorph in this dataset at 0.52 eV per formula unit. The final energy comes out at -7.337 eV/atom. Its space group is P2/m (10).

Cell: 2.901 3.798 7.105 Å, 90.00 90.13 90.00°
Positions (direct):
La: 0.000 0.000 0.000
Mo: 0.000 0.000 0.500
Pt: 0.499 0.500 0.304
Pt: 0.501 0.500 0.696

[13]
DFT (GGA-PBE) results for an optimized crystal structure of Sc4TcRh.

Calculated values
Its density of states at the Fermi level is 6.975 states/eV/f.u. The calculation puts the energy above the most stable polymorph in this dataset at 5.23 eV per formula unit. The final energy comes out at -6.728 eV/atom. Its space group is F-43m (216).

Cell: 5.437 5.437 5.437 Å, 60.00 60.00 60.00°
Positions (direct):
Sc: 0.125 0.125 0.125
Sc: 0.125 0.125 0.625
Sc: 0.125 0.625 0.125
Sc: 0.625 0.125 0.125
Tc: 0.750 0.750 0.750
Rh: 0.500 0.500 0.500

[14]
DFT (GGA-PBE) results for an optimized crystal structure of Zr2Ir2Rh.

Calculated values
Its density of states at the Fermi level is 3.942 states/eV/f.u. The calculation puts the energy above the most stable polymorph in this dataset at 0.00 eV per formula unit. The final energy comes out at -9.053 eV/atom. Its space group is P4/mbm (127).

Cell: 7.001 7.001 3.711 Å, 90.00 90.00 90.00°
Positions (direct):
Zr: 0.176 0.324 0.000
Zr: 0.324 0.824 0.000
Zr: 0.676 0.176 0.000
Zr: 0.824 0.676 0.000
Ir: 0.131 0.631 0.500
Ir: 0.369 0.131 0.500
Ir: 0.631 0.869 0.500
Ir: 0.869 0.369 0.500
Rh: 0.000 0.000 0.500
Rh: 0.500 0.500 0.500

[15]
DFT (GGA-PBE) results for an optimized crystal structure of Cd3InAu2.

Calculated values
Its density of states at the Fermi level is 2.072 states/eV/f.u. The final energy comes out at -2.163 eV/atom. Its space group is Pmc2_1 (26).

Cell: 4.150 8.947 7.109 Å, 90.00 90.00 90.00°
Positions (direct):
Cd: 0.000 0.073 0.000
Cd: 0.000 0.310 0.422
Cd: 0.000 0.690 0.922
Cd: 0.000 0.927 0.500
Cd: 0.500 0.186 0.696
Cd: 0.500 0.814 0.196
In: 0.500 0.424 0.111
In: 0.500 0.576 0.611
Au: 0.000 0.382 0.826
Au: 0.000 0.618 0.326
Au: 0.500 0.119 0.288
Au: 0.500 0.881 0.788

[16]
DFT (GGA-PBE) results for an optimized crystal structure of La3GaO.

Calculated values
Its density of states at the Fermi level is 4.453 states/eV/f.u. The final energy comes out at -5.269 eV/atom. As for the formation energy from raw total energies: -3.575 eV/f.u. Its space group is P4mm (99).

Cell: 4.936 4.936 7.690 Å, 90.00 90.00 90.00°
Positions (direct):
La: 0.000 0.000 0.000
La: 0.000 0.500 0.599
La: 0.500 0.000 0.599
Ga: 0.000 0.000 0.371
O: 0.500 0.500 0.606

[17]
DFT (GGA-PBE) results for an optimized crystal structure of YAlNF2.

Calculated values
Its density of states at the Fermi level is 1.237 states/eV/f.u. The calculation puts the energy above the most stable polymorph in this dataset at 0.00 eV per formula unit. The final energy comes out at -6.475 eV/atom. As for the formation energy from raw total energies: -10.098 eV/f.u. Its space group is P4/mmm (123).

Cell: 3.956 3.956 3.761 Å, 90.00 90.00 90.00°
Positions (direct):
Y: 0.000 0.000 0.000
Al: 0.500 0.500 0.500
N: 0.500 0.500 0.000
F: 0.000 0.500 0.500
F: 0.500 0.000 0.500

[18]
DFT (GGA-PBE) results for an optimized crystal structure of ErHfCoTc.

Calculated values
Its density of states at the Fermi level is 4.362 states/eV/f.u. The final energy comes out at -8.239 eV/atom. Its space group is F-43m (216).

Cell: 4.627 4.627 4.627 Å, 60.00 60.00 60.00°
Positions (direct):
Er: 0.000 0.000 0.000
Hf: 0.500 0.500 0.500
Co: 0.250 0.250 0.250
Tc: 0.750 0.750 0.750

[19]
DFT (GGA-PBE) results for an optimized crystal structure of BiSeCl3.

Calculated values
The calculation puts the energy above the most stable polymorph in this dataset at 0.00 eV per formula unit. The final energy comes out at -3.236 eV/atom. As for the formation energy from raw total energies: -3.276 eV/f.u. Its space group is P2/c (13).

Cell: 5.757 9.063 14.554 Å, 90.00 101.80 90.00°
Positions (direct):
Bi: 0.119 0.132 0.122
Bi: 0.119 0.868 0.622
Bi: 0.881 0.132 0.378
Bi: 0.881 0.868 0.878
Se: 0.002 0.426 0.173
Se: 0.002 0.574 0.673
Se: 0.998 0.426 0.327
Se: 0.998 0.574 0.827
Cl: 0.158 0.167 0.544
Cl: 0.158 0.833 0.044
Cl: 0.282 0.048 0.318
Cl: 0.282 0.952 0.818
Cl: 0.358 0.378 0.084
Cl: 0.358 0.622 0.584
Cl: 0.642 0.378 0.416
Cl: 0.642 0.622 0.916
Cl: 0.718 0.048 0.182
Cl: 0.718 0.952 0.682
Cl: 0.842 0.167 0.956
Cl: 0.842 0.833 0.456

[20]
DFT (GGA-PBE) results for an optimized crystal structure of Er3Zn8Ag.

Calculated values
Its density of states at the Fermi level is 5.372 states/eV/f.u. The final energy comes out at -2.517 eV/atom. Its space group is R3m (160).

Cell: 9.294 9.294 9.294 Å, 33.48 33.48 33.48°
Positions (direct):
Er: 0.000 0.000 0.000
Er: 0.126 0.126 0.126
Er: 0.617 0.617 0.617
Zn: 0.059 0.561 0.561
Zn: 0.061 0.061 0.559
Zn: 0.061 0.559 0.061
Zn: 0.310 0.310 0.310
Zn: 0.559 0.061 0.061
Zn: 0.561 0.059 0.561
Zn: 0.561 0.561 0.059
Zn: 0.811 0.811 0.811
Ag: 0.496 0.496 0.496